This record from Alexandria via LeMat-Bulk describes a geometry-optimized ThSiPd structure. The functional is PBE.

**Formation energy from raw total energies**: -0.943 eV per atom
**Space group**: No. 187

The structure in CIF format:
```
data_ThSiPd
_chemical_formula_sum 'Th6 Si6 Pd6'
_cell_length_a 4.328
_cell_length_b 7.491
_cell_length_c 12.613
_cell_angle_alpha 107.27
_cell_angle_beta 99.88
_cell_angle_gamma 90.00
_space_group_name_H-M_alt 'P 1'
_space_group_IT_number 1
_space_group_name_Hall 'P 1'
loop_
_atom_site_label
_atom_site_fract_x
_atom_site_fract_y
_atom_site_fract_z
_atom_site_occupancy
Si1 0.750 0.578 0.500 1
Si2 0.584 0.746 0.169 1
Si3 0.084 0.246 0.169 1
Si4 0.916 0.077 0.831 1
Si5 0.250 0.078 0.500 1
Si6 0.416 0.577 0.831 1
Pd1 0.750 0.911 0.500 1
Pd2 0.583 0.411 0.166 1
Pd3 0.083 0.911 0.166 1
Pd4 0.417 0.245 0.834 1
Pd5 0.917 0.745 0.834 1
Pd6 0.250 0.412 0.500 1
Th1 0.333 0.828 0.667 1
Th2 0.833 0.328 0.667 1
Th3 0.667 0.162 0.333 1
Th4 0.500 0.994 0.000 1
Th5 0.167 0.661 0.333 1
Th6 0.000 0.494 0.000 1
```



This record from Alexandria via LeMat-Bulk describes a geometry-optimized CdCuP structure. The functional is PBE.

**Space group**: No. 187

The structure in CIF format:
```
data_CdCuP
_chemical_formula_sum 'Cd1 Cu1 P1'
_cell_length_a 3.925
_cell_length_b 3.925
_cell_length_c 3.959
_cell_angle_alpha 90.00
_cell_angle_beta 90.00
_cell_angle_gamma 120.00
_space_group_name_H-M_alt 'P 1'
_space_group_IT_number 1
_space_group_name_Hall 'P 1'
loop_
_atom_site_label
_atom_site_fract_x
_atom_site_fract_y
_atom_site_fract_z
_atom_site_occupancy
Cd1 0.000 0.000 0.000 1
Cu1 0.667 0.333 0.500 1
P1 0.333 0.667 0.500 1
```



This record from Alexandria via LeMat-Bulk describes a geometry-optimized Tb2MgGe4Pd3 structure. The functional is PBE.

**Space group**: No. 115

The structure in CIF format:
```
data_Tb2MgGe4Pd3
_chemical_formula_sum 'Tb2 Mg1 Ge4 Pd3'
_cell_length_a 4.136
_cell_length_b 4.136
_cell_length_c 11.199
_cell_angle_alpha 90.00
_cell_angle_beta 90.00
_cell_angle_gamma 90.00
_space_group_name_H-M_alt 'P 1'
_space_group_IT_number 1
_space_group_name_Hall 'P 1'
loop_
_atom_site_label
_atom_site_fract_x
_atom_site_fract_y
_atom_site_fract_z
_atom_site_occupancy
Tb1 0.500 0.000 0.249 1
Tb2 0.000 0.500 0.751 1
Ge1 0.500 0.500 0.000 1
Ge2 0.000 0.000 0.000 1
Ge3 0.500 0.000 0.648 1
Ge4 0.000 0.500 0.352 1
Pd1 0.000 0.500 0.133 1
Pd2 0.500 0.000 0.867 1
Pd3 0.000 0.000 0.500 1
Mg1 0.500 0.500 0.500 1
```



This record from Alexandria via LeMat-Bulk describes a geometry-optimized NiHgRh2C structure. The functional is PBE.

**Energy above the most stable polymorph in this dataset**: 0.480 eV/atom
**Space group**: No. 123

The structure in CIF format:
```
data_NiHgRh2C
_chemical_formula_sum 'Ni1 Hg1 Rh2 C1'
_cell_length_a 3.967
_cell_length_b 4.629
_cell_length_c 3.967
_cell_angle_alpha 90.00
_cell_angle_beta 90.00
_cell_angle_gamma 90.00
_space_group_name_H-M_alt 'P 1'
_space_group_IT_number 1
_space_group_name_Hall 'P 1'
loop_
_atom_site_label
_atom_site_fract_x
_atom_site_fract_y
_atom_site_fract_z
_atom_site_occupancy
Ni1 0.500 0.500 0.500 1
Hg1 0.000 0.500 0.000 1
C1 0.000 0.000 0.000 1
Rh1 0.500 0.000 0.000 1
Rh2 0.000 0.000 0.500 1
```



This record from Alexandria via LeMat-Bulk describes a geometry-optimized TbZnInCu structure. The functional is PBE.

**Space group**: No. 216

The structure in CIF format:
```
data_TbZnInCu
_chemical_formula_sum 'Tb1 Zn1 In1 Cu1'
_cell_length_a 4.772
_cell_length_b 4.772
_cell_length_c 4.772
_cell_angle_alpha 60.00
_cell_angle_beta 60.00
_cell_angle_gamma 60.00
_space_group_name_H-M_alt 'P 1'
_space_group_IT_number 1
_space_group_name_Hall 'P 1'
loop_
_atom_site_label
_atom_site_fract_x
_atom_site_fract_y
_atom_site_fract_z
_atom_site_occupancy
Zn1 0.750 0.750 0.750 1
Tb1 0.000 0.000 0.000 1
Cu1 0.250 0.250 0.250 1
In1 0.500 0.500 0.500 1
```



This record from Alexandria via LeMat-Bulk describes a geometry-optimized SiPbSeN2 structure. The functional is PBE.

**Energy above the most stable polymorph in this dataset**: 1.163 eV/atom
**Formation energy from raw total energies**: 1.821 eV per atom
**Space group**: No. 123

The structure in CIF format:
```
data_SiPbSeN2
_chemical_formula_sum 'Si1 Pb1 Se1 N2'
_cell_length_a 4.493
_cell_length_b 4.493
_cell_length_c 5.918
_cell_angle_alpha 90.00
_cell_angle_beta 90.00
_cell_angle_gamma 90.00
_space_group_name_H-M_alt 'P 1'
_space_group_IT_number 1
_space_group_name_Hall 'P 1'
loop_
_atom_site_label
_atom_site_fract_x
_atom_site_fract_y
_atom_site_fract_z
_atom_site_occupancy
N1 0.500 0.000 0.000 1
N2 0.000 0.500 0.000 1
Si1 0.500 0.500 0.500 1
Pb1 0.000 0.000 0.000 1
Se1 0.000 0.000 0.500 1
```



This record from Alexandria via LeMat-Bulk describes a geometry-optimized LaThPa structure. The functional is PBE.

**Energy above the most stable polymorph in this dataset**: 0.000 eV/atom
**Space group**: No. 107

The structure in CIF format:
```
data_LaThPa
_chemical_formula_sum 'La1 Th1 Pa1'
_cell_length_a 3.402
_cell_length_b 3.402
_cell_length_c 8.138
_cell_angle_alpha 102.06
_cell_angle_beta 102.06
_cell_angle_gamma 90.00
_space_group_name_H-M_alt 'P 1'
_space_group_IT_number 1
_space_group_name_Hall 'P 1'
loop_
_atom_site_label
_atom_site_fract_x
_atom_site_fract_y
_atom_site_fract_z
_atom_site_occupancy
Pa1 0.331 0.331 0.662 1
La1 0.993 0.993 0.986 1
Th1 0.676 0.676 0.352 1
```



This record from Alexandria via LeMat-Bulk describes a geometry-optimized GdSc2O structure. The functional is PBE.

**Energy above the most stable polymorph in this dataset**: 0.000 eV/atom
**Formation energy from raw total energies**: -1.293 eV per atom
**Space group**: No. 166

The structure in CIF format:
```
data_GdSc2O
_chemical_formula_sum 'Gd1 Sc2 O1'
_cell_length_a 3.257
_cell_length_b 3.257
_cell_length_c 8.937
_cell_angle_alpha 79.50
_cell_angle_beta 79.50
_cell_angle_gamma 60.00
_space_group_name_H-M_alt 'P 1'
_space_group_IT_number 1
_space_group_name_Hall 'P 1'
loop_
_atom_site_label
_atom_site_fract_x
_atom_site_fract_y
_atom_site_fract_z
_atom_site_occupancy
Sc1 0.879 0.879 0.362 1
Sc2 0.121 0.121 0.638 1
Gd1 0.000 0.000 0.000 1
O1 0.500 0.500 0.500 1
```



This record from Alexandria via LeMat-Bulk describes a geometry-optimized Ta2InAg structure. The functional is PBE.

**Space group**: No. 35

The structure in CIF format:
```
data_Ta2InAg
_chemical_formula_sum 'Ta2 In1 Ag1'
_cell_length_a 2.906
_cell_length_b 2.906
_cell_length_c 9.251
_cell_angle_alpha 90.00
_cell_angle_beta 90.00
_cell_angle_gamma 102.10
_space_group_name_H-M_alt 'P 1'
_space_group_IT_number 1
_space_group_name_Hall 'P 1'
loop_
_atom_site_label
_atom_site_fract_x
_atom_site_fract_y
_atom_site_fract_z
_atom_site_occupancy
Ta1 0.500 0.500 0.248 1
Ta2 0.000 0.000 0.010 1
In1 0.500 0.500 0.749 1
Ag1 0.000 0.000 0.493 1
```



This record from Alexandria via LeMat-Bulk describes a geometry-optimized La2TlIn2 structure. The functional is PBE.

**Space group**: No. 139

The structure in CIF format:
```
data_La2TlIn2
_chemical_formula_sum 'La2 Tl1 In2'
_cell_length_a 5.049
_cell_length_b 5.049
_cell_length_c 7.778
_cell_angle_alpha 71.06
_cell_angle_beta 71.06
_cell_angle_gamma 90.00
_space_group_name_H-M_alt 'P 1'
_space_group_IT_number 1
_space_group_name_Hall 'P 1'
loop_
_atom_site_label
_atom_site_fract_x
_atom_site_fract_y
_atom_site_fract_z
_atom_site_occupancy
Tl1 0.000 0.000 0.000 1
In1 0.402 0.402 0.196 1
In2 0.598 0.598 0.804 1
La1 0.250 0.750 0.500 1
La2 0.750 0.250 0.500 1
```



no.,spin magnetization (μB/atom),DFT total energy (eV for the cell shown)
1,0.0000,-125.180
2,0.0000,-10.263
3,0.0000,-52.222
4,0.1997,-27.109
5,0.0000,-14.027
6,0.4788,-20.163
7,0.0000,-21.377
8,1.8996,-36.873
9,0.0000,-28.746
10,0.0000,-17.690